1.
Material: Tc4IrPb
Method: DFT, PBE
State: optimized geometry

Unit cell a=7.351 b=7.351 c=7.351 alpha=90.00 beta=90.00 gamma=90.00
Space group F-43m (No. 216)
One atom of each set of equivalent atoms:
Tc  0.123  0.123  0.123 x16
Ir  0.250  0.250  0.750 x4
Pb  0.000  0.000  0.500 x4

Summary:
Total moment: 0.001 μB per atom
ΔH_f (0 K): 651 meV/atom
E_tot: -8.354 eV/atom

2.
Material: Tc3IrPb
Method: DFT, PBE
State: optimized geometry

Unit cell a=4.772 b=4.772 c=4.772 alpha=90.00 beta=90.00 gamma=90.00
Space group Pm-3m (No. 221)
One atom of each set of equivalent atoms:
Tc  0.000  0.000  0.500 x3
Ir  0.000  0.000  0.000 x1
Pb  0.500  0.500  0.500 x1

Summary:
Total moment: 0.591 μB per atom
ΔH_f (0 K): 1531 meV/atom
E_tot: -7.202 eV/atom
Relative energy among the computed polymorphs: 0 meV/atom

3.
Material: Tc2IrPb
Method: DFT, PBE
State: optimized geometry

Unit cell a=2.924 b=2.924 c=7.821 alpha=90.00 beta=90.00 gamma=90.00
Space group P4/mmm (No. 123)
One atom of each set of equivalent atoms:
Tc  0.000  0.000  0.227 x2
Ir  0.500  0.500  0.000 x1
Pb  0.500  0.500  0.500 x1

Summary:
Total moment: 0.000 μB per atom
ΔH_f (0 K): 531 meV/atom
E_tot: -7.794 eV/atom

4.
Material: Tc2IrPb
Method: DFT, PBE
State: optimized geometry

Unit cell a=3.681 b=4.247 c=4.318 alpha=90.00 beta=90.00 gamma=90.00
Space group Pmmm (No. 47)
One atom of each set of equivalent atoms:
Tc  0.000  0.000  0.000 x1
Tc  0.500  0.500  0.000 x1
Ir  0.000  0.500  0.500 x1
Pb  0.500  0.000  0.500 x1

Summary:
Total moment: 0.568 μB per atom
ΔH_f (0 K): 625 meV/atom
E_tot: -7.701 eV/atom

5.
Material: Tc2IrPb
Method: DFT, PBE
State: optimized geometry

Unit cell a=5.372 b=8.493 c=2.932 alpha=90.00 beta=90.00 gamma=90.00
Space group Cmmm (No. 65)
One atom of each set of equivalent atoms:
Tc  0.250  0.250  0.000 x4
Ir  0.000  0.000  0.500 x2
Pb  0.000  0.500  0.500 x2

Summary:
Total moment: 0.000 μB per atom
ΔH_f (0 K): 631 meV/atom
E_tot: -7.694 eV/atom

6.
Material: Tc2IrPb
Method: DFT, PBE
State: optimized geometry

Unit cell a=2.856 b=3.955 c=6.240 alpha=90.00 beta=97.32 gamma=90.00
Space group P2/m (No. 10)
One atom of each set of equivalent atoms:
Tc  0.054  0.000  0.200 x2
Ir  0.500  0.500  0.000 x1
Pb  0.500  0.500  0.500 x1

Summary:
Total moment: 0.000 μB per atom
ΔH_f (0 K): 462 meV/atom
E_tot: -7.863 eV/atom

7.
Material: TcIrPb2
Method: DFT, PBE
State: optimized geometry

Unit cell a=3.123 b=4.583 c=11.920 alpha=90.00 beta=90.00 gamma=90.00
Space group Imm2 (No. 44)
One atom of each set of equivalent atoms:
Tc  0.000  0.000  0.000 x2
Ir  0.000  0.500  0.679 x2
Pb  0.000  0.000  0.496 x2
Pb  0.000  0.500  0.273 x2

Summary:
Total moment: 0.000 μB per atom
ΔH_f (0 K): 598 meV/atom
E_tot: -6.063 eV/atom
Relative energy among the computed polymorphs: 10 meV/atom

8.
Material: TcIr2Pb
Method: DFT, PBE
State: optimized geometry

Unit cell a=4.060 b=4.060 c=7.995 alpha=90.00 beta=90.00 gamma=90.00
Space group I4/mmm (No. 139)
One atom of each set of equivalent atoms:
Tc  0.000  0.000  0.000 x2
Ir  0.000  0.500  0.250 x4
Pb  0.000  0.000  0.500 x2

Summary:
Total moment: 0.112 μB per atom
ΔH_f (0 K): 429 meV/atom
E_tot: -7.520 eV/atom

9.
Material: TcIrPb2
Method: DFT, PBE
State: optimized geometry

Unit cell a=6.739 b=6.739 c=6.739 alpha=90.00 beta=90.00 gamma=90.00
Space group Fm-3m (No. 225)
One atom of each set of equivalent atoms:
Tc  0.000  0.000  0.000 x4
Ir  0.000  0.000  0.500 x4
Pb  0.250  0.250  0.250 x8

Summary:
Total moment: 0.000 μB per atom
ΔH_f (0 K): 612 meV/atom
E_tot: -6.049 eV/atom
Relative energy among the computed polymorphs: 24 meV/atom

10.
Material: TcIr2Pb
Method: DFT, PBE
State: optimized geometry

Unit cell a=2.916 b=3.894 c=5.929 alpha=90.00 beta=90.00 gamma=90.00
Space group Pmmm (No. 47)
One atom of each set of equivalent atoms:
Tc  0.000  0.000  0.000 x1
Ir  0.500  0.500  0.221 x2
Pb  0.000  0.000  0.500 x1

Summary:
Total moment: 0.000 μB per atom
ΔH_f (0 K): 384 meV/atom
E_tot: -7.565 eV/atom

11.
Material: TcIrPb2
Method: DFT, PBE
State: optimized geometry

Unit cell a=8.813 b=3.256 c=5.662 alpha=90.00 beta=102.85 gamma=90.00
Space group C2/m (No. 12)
One atom of each set of equivalent atoms:
Tc  0.000  0.000  0.000 x2
Ir  0.000  0.500  0.500 x2
Pb  0.250  0.000  0.751 x4

Summary:
Total moment: 0.054 μB per atom
ΔH_f (0 K): 714 meV/atom
E_tot: -5.947 eV/atom
Relative energy among the computed polymorphs: 126 meV/atom

12.
Material: Tc2IrPb
Method: DFT, PBE
State: optimized geometry

Unit cell a=2.957 b=2.957 c=7.740 alpha=90.00 beta=90.00 gamma=90.00
Space group P4mm (No. 99)
One atom of each set of equivalent atoms:
Tc  0.000  0.000  0.000 x1
Tc  0.500  0.500  0.208 x1
Ir  0.000  0.000  0.440 x1
Pb  0.500  0.500  0.716 x1

Summary:
Total moment: 0.000 μB per atom
ΔH_f (0 K): 382 meV/atom
E_tot: -7.943 eV/atom

13.
Material: TcIr2Pb
Method: DFT, PBE
State: optimized geometry

Unit cell a=4.011 b=4.011 c=4.134 alpha=90.00 beta=90.00 gamma=90.00
Space group P4/mmm (No. 123)
One atom of each set of equivalent atoms:
Tc  0.000  0.000  0.000 x1
Ir  0.000  0.500  0.500 x2
Pb  0.500  0.500  0.000 x1

Summary:
Total moment: 0.150 μB per atom
ΔH_f (0 K): 550 meV/atom
E_tot: -7.400 eV/atom

14.
Material: TcIr2Pb
Method: DFT, PBE
State: optimized geometry

Unit cell a=2.890 b=2.890 c=8.289 alpha=90.00 beta=90.00 gamma=90.00
Space group P4/mmm (No. 123)
One atom of each set of equivalent atoms:
Tc  0.000  0.000  0.000 x1
Ir  0.500  0.500  0.211 x2
Pb  0.000  0.000  0.500 x1

Summary:
Total moment: 0.000 μB per atom
ΔH_f (0 K): 290 meV/atom
E_tot: -7.659 eV/atom

15.
Material: TcIrPb2
Method: DFT, PBE
State: optimized geometry

Unit cell a=3.382 b=3.404 c=6.644 alpha=90.00 beta=90.00 gamma=90.00
Space group Pmmm (No. 47)
One atom of each set of equivalent atoms:
Tc  0.000  0.000  0.000 x1
Ir  0.000  0.000  0.500 x1
Pb  0.500  0.500  0.245 x2

Summary:
Total moment: 0.000 μB per atom
ΔH_f (0 K): 635 meV/atom
E_tot: -6.026 eV/atom
Relative energy among the computed polymorphs: 46 meV/atom

16.
Material: Tc2IrPb
Method: DFT, PBE
State: optimized geometry

Unit cell a=2.9159 b=2.9159 c=27.5317 alpha=90.00 beta=90.00 gamma=120.00
Space group R-3m (No. 166, hexagonal axes)
One atom of each set of equivalent atoms:
Tc  0.0000  0.0000  0.2437 x6
Ir  0.0000  0.0000  0.5000 x3
Pb  0.0000  0.0000  0.0000 x3

Summary:
Total moment: 0.000 μB per atom
ΔH_f (0 K): 566 meV/atom
E_tot: -7.759 eV/atom

17.
Material: TcIr2Pb
Method: DFT, PBE
State: optimized geometry

Unit cell a=2.895 b=4.504 c=5.154 alpha=90.00 beta=90.00 gamma=90.00
Space group Pmm2 (No. 25)
One atom of each set of equivalent atoms:
Tc  0.000  0.000  0.000 x1
Ir  0.500  0.000  0.553 x1
Ir  0.500  0.500  0.863 x1
Pb  0.000  0.500  0.353 x1

Summary:
Total moment: 0.000 μB per atom
ΔH_f (0 K): 431 meV/atom
E_tot: -7.518 eV/atom

18.
Material: TcIrPb2
Method: DFT, PBE
State: optimized geometry

Unit cell a=4.697 b=4.697 c=3.465 alpha=90.00 beta=90.00 gamma=90.00
Space group P4/mmm (No. 123)
One atom of each set of equivalent atoms:
Tc  0.000  0.000  0.000 x1
Ir  0.500  0.500  0.000 x1
Pb  0.000  0.500  0.500 x2

Summary:
Total moment: 0.000 μB per atom
ΔH_f (0 K): 589 meV/atom
E_tot: -6.072 eV/atom
Relative energy among the computed polymorphs: 0 meV/atom

19.
Material: TcIr3Pb
Method: DFT, PBE
State: optimized geometry

Unit cell a=4.775 b=4.775 c=4.775 alpha=90.00 beta=90.00 gamma=90.00
Space group Pm-3m (No. 221)
One atom of each set of equivalent atoms:
Tc  0.000  0.000  0.000 x1
Ir  0.000  0.000  0.500 x3
Pb  0.500  0.500  0.500 x1

Summary:
Total moment: 0.000 μB per atom
ΔH_f (0 K): 1343 meV/atom
E_tot: -6.789 eV/atom
Relative energy among the computed polymorphs: 0 meV/atom

20.
Material: TcIr2Pb
Method: DFT, PBE
State: optimized geometry

Unit cell a=6.438 b=6.438 c=6.438 alpha=90.00 beta=90.00 gamma=90.00
Space group F-43m (No. 216)
One atom of each set of equivalent atoms:
Tc  0.000  0.000  0.000 x4
Ir  0.000  0.000  0.500 x4
Ir  0.250  0.250  0.250 x4
Pb  0.250  0.250  0.750 x4

Summary:
Total moment: 0.000 μB per atom
ΔH_f (0 K): 597 meV/atom
E_tot: -7.352 eV/atom

21.
Material: TcIr2Pb
Method: DFT, PBE
State: optimized geometry

Unit cell a=9.106 b=2.924 c=5.182 alpha=90.00 beta=100.02 gamma=90.00
Space group Cm (No. 8)
One atom of each set of equivalent atoms:
Tc  0.000  0.000  0.000 x2
Ir  0.015  0.500  0.576 x2
Ir  0.261  0.000  0.822 x2
Pb  0.258  0.500  0.312 x2

Summary:
Total moment: 0.000 μB per atom
ΔH_f (0 K): 383 meV/atom
E_tot: -7.566 eV/atom

22.
Material: TcIr2Pb
Method: DFT, PBE
State: optimized geometry

Unit cell a=9.395 b=2.942 c=4.886 alpha=90.00 beta=98.41 gamma=90.00
Space group C2/m (No. 12)
One atom of each set of equivalent atoms:
Tc  0.000  0.000  0.000 x2
Ir  0.241  0.500  0.225 x4
Pb  0.000  0.500  0.500 x2

Summary:
Total moment: 0.001 μB per atom
ΔH_f (0 K): 436 meV/atom
E_tot: -7.513 eV/atom

23.
Material: Tc2IrPb
Method: DFT, PBE
State: optimized geometry

Unit cell a=9.184 b=3.031 c=5.016 alpha=90.00 beta=101.89 gamma=90.00
Space group Cm (No. 8)
One atom of each set of equivalent atoms:
Tc  0.000  0.000  0.000 x2
Tc  0.229  0.500  0.150 x2
Ir  0.473  0.000  0.417 x2
Pb  0.235  0.000  0.670 x2

Summary:
Total moment: 0.000 μB per atom
ΔH_f (0 K): 463 meV/atom
E_tot: -7.863 eV/atom

24.
Material: TcIr2Pb
Method: DFT, PBE
State: optimized geometry

Unit cell a=2.9157 b=2.9157 c=28.1180 alpha=90.00 beta=90.00 gamma=120.00
Space group R-3m (No. 166, hexagonal axes)
One atom of each set of equivalent atoms:
Tc  0.0000  0.0000  0.0000 x3
Ir  0.0000  0.0000  0.2595 x6
Pb  0.0000  0.0000  0.5000 x3

Summary:
Total moment: 0.000 μB per atom
ΔH_f (0 K): 415 meV/atom
E_tot: -7.534 eV/atom

25.
Material: Tc2IrPb
Method: DFT, PBE
State: optimized geometry

Unit cell a=2.923 b=3.843 c=6.114 alpha=90.00 beta=93.53 gamma=90.00
Space group Pm (No. 6)
One atom of each set of equivalent atoms:
Tc  0.000  0.000  0.000 x1
Tc  0.446  0.500  0.185 x1
Ir  0.994  0.000  0.427 x1
Pb  0.496  0.500  0.697 x1

Summary:
Total moment: 0.000 μB per atom
ΔH_f (0 K): 445 meV/atom
E_tot: -7.880 eV/atom

26.
Material: TcIr2Pb
Method: DFT, PBE
State: optimized geometry

Unit cell a=2.835 b=3.614 c=7.179 alpha=90.00 beta=100.15 gamma=90.00
Space group P2/m (No. 10)
One atom of each set of equivalent atoms:
Tc  0.000  0.000  0.000 x1
Ir  0.405  0.500  0.807 x2
Pb  0.000  0.000  0.500 x1

Summary:
Total moment: 0.000 μB per atom
ΔH_f (0 K): 361 meV/atom
E_tot: -7.588 eV/atom

27.
Material: TcIr4Pb
Method: DFT, PBE
State: optimized geometry

Unit cell a=7.453 b=7.453 c=7.453 alpha=90.00 beta=90.00 gamma=90.00
Space group F-43m (No. 216)
One atom of each set of equivalent atoms:
Tc  0.000  0.000  0.000 x4
Ir  0.126  0.126  0.374 x16
Pb  0.250  0.250  0.750 x4

Summary:
Total moment: 0.497 μB per atom
ΔH_f (0 K): 637 meV/atom
E_tot: -7.616 eV/atom

28.
Material: TcIrPb2
Method: DFT, PBE
State: optimized geometry

Unit cell a=7.661 b=7.661 c=6.053 alpha=90.00 beta=90.00 gamma=90.00
Space group I-42d (No. 122)
One atom of each set of equivalent atoms:
Tc  0.000  0.000  0.000 x4
Ir  0.000  0.000  0.500 x4
Pb  0.233  0.250  0.625 x8

Summary:
Total moment: 0.646 μB per atom
ΔH_f (0 K): 957 meV/atom
E_tot: -5.704 eV/atom
Relative energy among the computed polymorphs: 368 meV/atom

29.
Material: TcIr2Pb
Method: DFT, PBE
State: optimized geometry

Unit cell a=4.093 b=4.093 c=7.860 alpha=90.00 beta=90.00 gamma=90.00
Space group I-4m2 (No. 119)
One atom of each set of equivalent atoms:
Tc  0.000  0.000  0.000 x2
Ir  0.000  0.000  0.500 x2
Ir  0.000  0.500  0.750 x2
Pb  0.000  0.500  0.250 x2

Summary:
Total moment: 0.000 μB per atom
ΔH_f (0 K): 442 meV/atom
E_tot: -7.507 eV/atom

30.
Material: Tc2IrPb
Method: DFT, PBE
State: optimized geometry

Unit cell a=2.860 b=3.921 c=6.218 alpha=90.00 beta=90.00 gamma=90.00
Space group Pmmm (No. 47)
One atom of each set of equivalent atoms:
Tc  0.000  0.000  0.200 x2
Ir  0.500  0.500  0.000 x1
Pb  0.500  0.500  0.500 x1

Summary:
Total moment: 0.001 μB per atom
ΔH_f (0 K): 486 meV/atom
E_tot: -7.839 eV/atom